VASP calculation (PBE-GGA) on an optimized crystal structure of Sm2NpHgO8.

Lattice parameters (Å, degrees): 4.0870 5.3868 7.8253 94.70 88.53 97.01
Element x y z (fractional)
1 Hg 0.0000 0.0000 0.5000
2 O 0.9557 0.2185 0.7719
3 O 0.4066 0.2650 0.4796
4 O 0.5934 0.7350 0.5204
5 O 0.9390 0.2585 0.1861
6 O 0.0610 0.7415 0.8139
7 O 0.0443 0.7815 0.2281
8 O 0.4318 0.2245 0.9904
9 O 0.5682 0.7755 0.0096
10 Np 0.0000 0.0000 0.0000
11 Sm 0.4887 0.5222 0.2540
12 Sm 0.5113 0.4778 0.7460

ΔE_f (raw) ... -2.3749 eV per atom


VASP calculation (PBE-GGA) on an optimized crystal structure of La2ZrReI.

Lattice parameters (Å, degrees): 5.4065 5.3870 5.4065 90.00 90.00 90.00
Element x y z (fractional)
1 La 0.0000 0.0000 0.5000
2 La 0.5000 0.0000 0.0000
3 Zr 0.5000 0.5000 0.5000
4 Re 0.0000 0.0000 0.0000
5 I 0.0000 0.5000 0.0000

ΔE_f (raw) ... 0.8036 eV per atom
Energy above the lowest structure with this stoichiometry ... 0 meV per atom


VASP calculation (PBE-GGA) on an optimized crystal structure of KY2Sc.

Lattice parameters (Å, degrees): 5.7582 5.7582 5.7582 60.00 60.00 60.00
Element x y z (fractional)
1 Sc 0.7500 0.7500 0.7500
2 Y 0.0000 0.0000 0.0000
3 Y 0.2500 0.2500 0.2500
4 K 0.5000 0.5000 0.5000

Energy above the lowest structure with this stoichiometry ... 373 meV per atom
Energy relative to the elements ... 0.607 eV/atom


VASP calculation (PBE-GGA) on an optimized crystal structure of MgWI3.

Lattice parameters (Å, degrees): 5.6824 5.6824 5.6824 90.00 90.00 90.00
Site moments in Bohr magnetons follow the coordinates.
Element x y z (fractional)
1 W 0.0000 0.0000 0.0000  2.59
2 I 0.0000 0.0000 0.5000  0.02
3 I 0.0000 0.5000 0.0000  -0.01
4 I 0.5000 0.0000 0.0000  0.03
5 Mg 0.5000 0.5000 0.5000  -0.11

ΔE_f (raw) ... 0.5373 eV per atom
Energy above the lowest structure with this stoichiometry ... 0 meV per atom


VASP calculation (PBE-GGA) on an optimized crystal structure of Pr2SnIr.

Lattice parameters (Å, degrees): 4.0836 4.0836 8.5785 76.23 76.23 60.00
Element x y z (fractional)
1 Sn 0.5000 0.5000 0.5000
2 Pr 0.7348 0.7348 0.7955
3 Pr 0.2652 0.2652 0.2045
4 Ir 0.0000 0.0000 0.0000

Energy above the lowest structure with this stoichiometry ... 193 meV per atom
Energy relative to the elements ... -0.494 eV/atom


VASP calculation (PBE-GGA) on an optimized crystal structure of Y2PtRh2.

Lattice parameters (Å, degrees): 5.3247 5.3247 5.4139 60.54 60.54 90.00
Element x y z (fractional)
1 Rh 0.3394 0.3394 0.3211
2 Rh 0.6606 0.6606 0.6789
3 Y 0.7500 0.2500 0.5000
4 Y 0.2500 0.7500 0.5000
5 Pt 0.0000 0.0000 0.0000

Energy above the lowest structure with this stoichiometry ... 380 meV per atom
Energy relative to the elements ... -0.475 eV/atom


| no. | magnetization (μB/f.u.) |
| --- | --- |
| 1 | 0.0 |
| 2 | 0.0 |
| 3 | 0.0 |
| 4 | 3.0 |
| 5 | 0.0 |
| 6 | 0.0 |